[1]
Density functional theory data (PBE) for an optimized crystal structure of ReAgP.

For the uncorrected energy, the calculation gives -82.37 eV per cell. The energy above the most stable polymorph in this dataset is 0.000 eV/atom.

a = 8.2531 Å, b = 2.9447 Å, c = 9.3083 Å
α = 90.00°, β = 113.44°, γ = 90.00°
Last column: nearest neighbours and their distance in Å.
Space group Cm (No. 8)
Unique sites:
Re (0.0000, 0.0000, 0.0000) x2  4 P 2.31-2.39
Re (0.0989, 0.5000, 0.7861) x2  5 P 2.37-2.58
Ag (0.0154, 0.0000, 0.4923) x2  5 Ag 2.87-2.94, 3 P 2.92-3.13, 2 Re 2.94
Ag (0.1380, 0.5000, 0.2901) x2  5 Ag 2.87-2.94, 2 Re 2.88, 1 P 2.97
P (0.2889, 0.0000, 0.0207) x2  5 Re 2.31-2.58
P (0.3551, 0.5000, 0.7205) x2  4 Re 2.37-2.42

***

[2]
Density functional theory data (PBE) for an optimized crystal structure of YScGeRh.

For the uncorrected energy, the calculation gives -110.98 eV per cell.

a = 6.8142 Å, b = 6.8142 Å, c = 6.8142 Å
α = 90.00°, β = 90.00°, γ = 90.00°
Last column: nearest neighbours and their distance in Å.
Space group F-43m (No. 216)
Unique sites:
Y (0.0000, 0.0000, 0.0000) x4  4 Rh 2.95, 4 Ge 2.95
Sc (0.0000, 0.0000, 0.5000) x4  4 Ge 2.95, 4 Rh 2.95
Ge (0.2500, 0.2500, 0.2500) x4  4 Y 2.95, 4 Sc 2.95
Rh (0.2500, 0.2500, 0.7500) x4  4 Sc 2.95, 4 Y 2.95

***

[3]
Density functional theory data (PBE) for an optimized crystal structure of Be5Rh.

For the uncorrected energy, the calculation gives -55.00 eV per cell.

a = 8.0219 Å, b = 2.8627 Å, c = 5.0305 Å
α = 90.00°, β = 109.01°, γ = 90.00°
Last column: nearest neighbours and their distance in Å.
Space group C2/m (No. 12)
Unique sites:
Be (0.0000, 0.0000, 0.0000) x2  10 Be 2.27-2.51, 2 Rh 2.52
Be (0.1693, 0.5000, 0.8469) x4  7 Be 2.19-2.40, 2 Rh 2.32
Be (0.1725, 0.5000, 0.3258) x4  7 Be 2.27-2.40, 3 Rh 2.35-2.48
Rh (0.0000, 0.0000, 0.5000) x2  12 Be 2.32-2.52

***

Calculated formation energy / eV/atom: 0.04; -0.75; -0.25